1.
The following is a PBE-GGA calculation of a relaxed LiTaFeBi crystal, from OQMD via LeMat-Bulk.

Crystal system   cubic
E above lowest polymorph   160 kJ/mol of formula units
Size of the total moment   2.3 Bohr magnetons per cell

a b c (Å): 4.616 4.616 4.616
angles (deg): 60.00 60.00 60.00
Sites, in units of the cell vectors:
1 Bi 0.000 0.000 0.000
2 Fe 0.750 0.750 0.750
3 Li 0.500 0.500 0.500
4 Ta 0.250 0.250 0.250

***

2.
The following is a PBE-GGA calculation of a relaxed LiTaFeBi crystal, from OQMD via LeMat-Bulk.

Crystal system   cubic
E above lowest polymorph   0 kJ/mol of formula units
Size of the total moment   0.9 Bohr magnetons per cell

a b c (Å): 4.472 4.472 4.472
angles (deg): 60.00 60.00 60.00
Sites, in units of the cell vectors:
1 Bi 0.000 0.000 0.000
2 Fe 0.750 0.750 0.750
3 Li 0.250 0.250 0.250
4 Ta 0.500 0.500 0.500

***

3.
The following is a PBE-GGA calculation of a relaxed LiFeTcBi crystal, from OQMD via LeMat-Bulk.

Crystal system   cubic
E above lowest polymorph   0 kJ/mol of formula units
Size of the total moment   3.0 Bohr magnetons per cell

a b c (Å): 4.410 4.410 4.410
angles (deg): 60.00 60.00 60.00
Sites, in units of the cell vectors:
1 Bi 0.000 0.000 0.000
2 Fe 0.750 0.750 0.750
3 Li 0.250 0.250 0.250
4 Tc 0.500 0.500 0.500

***

4.
The following is a PBE-GGA calculation of a relaxed LiZnFeBi crystal, from OQMD via LeMat-Bulk.

Crystal system   cubic
E above lowest polymorph   62 kJ/mol of formula units
Size of the total moment   2.6 Bohr magnetons per cell

a b c (Å): 4.658 4.658 4.658
angles (deg): 60.00 60.00 60.00
Sites, in units of the cell vectors:
1 Bi 0.250 0.250 0.250
2 Fe 0.750 0.750 0.750
3 Li 0.500 0.500 0.500
4 Zn 0.000 0.000 0.000

***

5.
The following is a PBE-GGA calculation of a relaxed LiZnFeBi crystal, from OQMD via LeMat-Bulk.

Crystal system   cubic
E above lowest polymorph   0 kJ/mol of formula units
Size of the total moment   1.5 Bohr magnetons per cell

a b c (Å): 4.451 4.451 4.451
angles (deg): 60.00 60.00 60.00
Sites, in units of the cell vectors:
1 Bi 0.250 0.250 0.250
2 Fe 0.000 0.000 0.000
3 Li 0.500 0.500 0.500
4 Zn 0.750 0.750 0.750

***

6.
The following is a PBE-GGA calculation of a relaxed LiZrFeBi crystal, from OQMD via LeMat-Bulk.

Crystal system   cubic
E above lowest polymorph   174 kJ/mol of formula units
Size of the total moment   2.0 Bohr magnetons per cell

a b c (Å): 4.720 4.720 4.720
angles (deg): 60.00 60.00 60.00
Sites, in units of the cell vectors:
1 Bi 0.250 0.250 0.250
2 Fe 0.500 0.500 0.500
3 Li 0.750 0.750 0.750
4 Zr 0.000 0.000 0.000

***

The highest size of the total moment belongs to which entry?
LiFeTcBi